Record 1
The following is a DFT calculation (GGA-PBE) of an optimized crystal structure of LaAgGe.

Unit cell a=6.1226 b=6.1207 c=6.1240 alpha=82.86 beta=80.87 gamma=135.78
Fractional positions:
La 0.4000 0.4579 0.4201
Ge 0.7260 0.2067 0.3452
Ag 0.0562 0.2080 0.0141
Ge 0.0741 0.7092 0.4944
Ag 0.7443 0.7074 0.8261
La 0.4003 0.9579 0.9198

Density of states at the Fermi level (states/eV/cell): 3.6
Energy (eV/atom): -4.62
SG: C2/m, No. 12
E_form (eV/atom): -0.4870
Crystal system: monoclinic
Spin magnetization (Bohr magnetons per cell): 0.0

Record 2
The following is a DFT calculation (GGA-PBE) of an optimized crystal structure of La2Ag3Ge.

Unit cell a=3.8277 b=4.6295 c=8.3716 alpha=90.00 beta=90.00 gamma=90.00
Fractional positions:
La 0.0000 0.0000 0.4881
Ag 0.5000 0.0000 0.1718
Ag 0.5000 0.5000 0.6589
Ag 0.5000 0.0000 0.8392
Ge 0.5000 0.5000 0.3336
La 0.0000 0.5000 0.0084

Density of states at the Fermi level (states/eV/cell): 5.0
Energy (eV/atom): -4.26
SG: Pmm2, No. 25
E_form (eV/atom): -0.4174
Crystal system: orthorhombic
Spin magnetization (Bohr magnetons per cell): 0.0

Record 3
The following is a DFT calculation (GGA-PBE) of an optimized crystal structure of La6Ag5Ge.

Unit cell a=5.3541 b=7.6054 c=8.5941 alpha=90.00 beta=71.69 gamma=90.00
Site moments in Bohr magnetons follow the coordinates.
Fractional positions:
Ag 0.0000 0.5000 0.0000  0.01
Ag 0.3226 0.0000 0.3551  0.01
Ge 0.0000 0.0000 0.0000  -0.01
Ag 0.6717 0.5000 0.6563  0.01
Ag 0.3283 0.5000 0.3437  0.01
La 0.8395 0.2455 0.3217  0.05
La 0.5000 0.2401 0.0000  0.08
La 0.5000 0.7599 0.0000  0.08
Ag 0.6774 0.0000 0.6449  0.01
La 0.1605 0.7545 0.6783  0.05
La 0.8395 0.7545 0.3217  0.05
La 0.1605 0.2455 0.6783  0.05

Density of states at the Fermi level (states/eV/cell): 13.2
Energy (eV/atom): -4.39
SG: P2/m, No. 10
E_form (eV/atom): -0.3494
Crystal system: monoclinic
Spin magnetization (Bohr magnetons per cell): 0.8

Record 4
The following is a DFT calculation (GGA-PBE) of an optimized crystal structure of LaAgGe.

Unit cell a=4.1073 b=4.5582 c=8.0165 alpha=90.00 beta=90.02 gamma=90.00
Fractional positions:
Ag 0.6591 0.0731 0.7116
Ge 0.6588 0.0730 0.0420
La 0.1590 0.5731 0.8914
La 0.1593 0.0730 0.3453
Ge 0.6596 0.5730 0.1946
Ag 0.6591 0.5731 0.5251

Density of states at the Fermi level (states/eV/cell): 3.6
Energy (eV/atom): -4.62
SG: Pmma, No. 51
E_form (eV/atom): -0.4899
Crystal system: orthorhombic
Spin magnetization (Bohr magnetons per cell): 0.0